A:
Below is a geometry-optimized PmPuOs2 structure, with properties calculated at the GGA-PBE level.

Cell and atoms, written as extended XYZ:
```
4
Lattice="3.345 0.000 0.000 0.000 3.345 0.000 0.000 0.000 7.290" Properties=species:S:1:pos:R:3 pbc="T T T"
Pm 0.000 0.000 0.000
Pu 0.000 0.000 3.645
Os 1.672 1.672 2.048
Os 1.672 1.672 5.241
```

Values from the calculation:
Crystal system   tetragonal
Magnetic moment   3.61 μB per formula unit
Space group   P4/mmm

B:
Below is a geometry-optimized PmPuOs2 structure, with properties calculated at the GGA-PBE level.

Cell and atoms, written as extended XYZ:
```
4
Lattice="0.000 3.438 3.438 3.438 0.000 3.438 3.438 3.438 0.000" Properties=species:S:1:pos:R:3 pbc="T T T"
Pm 0.000 0.000 0.000
Pu 3.438 3.438 3.438
Os 1.719 1.719 1.719
Os 5.158 5.158 5.158
```

Values from the calculation:
Crystal system   cubic
Magnetic moment   3.79 μB per formula unit
Space group   Fm-3m

Calculated relative energies: A 0; B 50, given in meV per atom

A:
Below is a geometry-optimized Pm2PuOs2 structure, with properties calculated at the GGA-PBE level.

Cell and atoms, written as extended XYZ:
```
10
Lattice="5.011 -2.969 0.000 5.011 2.969 0.000 -1.578 0.000 7.910" Properties=species:S:1:pos:R:3 pbc="T T T"
Pm 1.267 0.785 1.187
Pm 0.478 -0.785 5.142
Pm 7.965 0.785 2.768
Pm 7.176 -0.785 6.723
Pu 4.616 0.745 1.978
Pu 3.827 -0.745 5.933
Os 2.872 0.820 3.891
Os 6.360 0.820 0.064
Os 2.083 -0.820 7.846
Os 5.571 -0.820 4.019
```

Values from the calculation:
Crystal system   monoclinic
Magnetic moment   4.28 μB per formula unit
Space group   C2/c

B:
Below is a geometry-optimized Pm2PuOs2 structure, with properties calculated at the GGA-PBE level.

Cell and atoms, written as extended XYZ:
```
5
Lattice="-2.138 2.874 4.778 2.138 -2.874 4.778 2.138 2.874 -4.778" Properties=species:S:1:pos:R:3 pbc="T T T"
Pm 0.000 0.000 1.884
Pm 0.000 0.000 7.672
Pu 0.000 2.874 0.000
Os 2.138 1.333 0.000
Os 0.000 1.541 4.778
```

Values from the calculation:
Crystal system   orthorhombic
Magnetic moment   4.47 μB per formula unit
Space group   Immm

Calculated relative energies: A 29; B 0, given in meV per atom

A:
Below is a geometry-optimized PmUOsRu structure, with properties calculated at the GGA-PBE level.

Cell and atoms, written as extended XYZ:
```
4
Lattice="2.217 1.280 5.242 -2.217 1.280 5.242 0.000 -2.560 5.242" Properties=species:S:1:pos:R:3 pbc="T T T"
Pm 0.000 0.000 0.000
U 0.000 0.000 7.872
Os 0.000 0.000 12.404
Ru 0.000 0.000 3.200
```

Values from the calculation:
Crystal system   trigonal
Magnetic moment   0.00 μB per formula unit
Space group   R3m

B:
Below is a geometry-optimized PmUOsRu structure, with properties calculated at the GGA-PBE level.

Cell and atoms, written as extended XYZ:
```
4
Lattice="0.000 3.437 3.437 3.437 0.000 3.437 3.437 3.437 0.000" Properties=species:S:1:pos:R:3 pbc="T T T"
Pm 0.000 0.000 0.000
U 3.437 3.437 3.437
Os 5.156 5.156 5.156
Ru 1.719 1.719 1.719
```

Values from the calculation:
Crystal system   cubic
Magnetic moment   1.49 μB per formula unit
Space group   F-43m

Calculated relative energies: A 0; B 230, given in meV per atom

A:
Below is a geometry-optimized PmSb2Os structure, with properties calculated at the GGA-PBE level.

Cell and atoms, written as extended XYZ:
```
4
Lattice="1.627 0.939 10.527 -1.627 0.939 10.527 0.000 -1.879 10.527" Properties=species:S:1:pos:R:3 pbc="T T T"
Pm 0.000 0.000 0.000
Sb 0.000 0.000 13.238
Sb 0.000 0.000 18.344
Os 0.000 0.000 15.791
```

Values from the calculation:
Crystal system   trigonal
Magnetic moment   0.00 μB per formula unit
Space group   R-3m

B:
Below is a geometry-optimized PmSb2Os structure, with properties calculated at the GGA-PBE level.

Cell and atoms, written as extended XYZ:
```
4
Lattice="4.638 0.000 0.000 0.000 4.638 0.000 0.000 0.000 4.162" Properties=species:S:1:pos:R:3 pbc="T T T"
Pm 0.000 0.000 0.000
Sb 0.000 2.319 2.081
Sb 2.319 0.000 2.081
Os 2.319 2.319 0.000
```

Values from the calculation:
Crystal system   tetragonal
Magnetic moment   0.00 μB per formula unit
Space group   P4/mmm

Calculated relative energies: A 422; B 0, given in meV per atom

A:
Below is a geometry-optimized PmSiOs structure, with properties calculated at the GGA-PBE level.

Cell and atoms, written as extended XYZ:
```
6
Lattice="3.843 0.000 0.000 -1.921 3.328 0.000 0.000 0.000 10.792" Properties=species:S:1:pos:R:3 pbc="T T T"
Pm 0.000 2.219 1.700
Pm 1.921 1.109 9.093
Si 0.000 2.219 4.632
Si 1.921 1.109 6.161
Os 0.000 2.219 7.102
Os 1.921 1.109 3.691
```

Values from the calculation:
Crystal system   trigonal
Magnetic moment   0.00 μB per formula unit
Space group   P-3m1

B:
Below is a geometry-optimized PmSiOs structure, with properties calculated at the GGA-PBE level.

Cell and atoms, written as extended XYZ:
```
3
Lattice="4.124 0.000 0.000 -2.062 3.572 0.000 0.000 0.000 4.251" Properties=species:S:1:pos:R:3 pbc="T T T"
Pm 0.000 0.000 0.000
Si 0.000 2.381 2.125
Os 2.062 1.191 2.125
```

Values from the calculation:
Crystal system   hexagonal
Magnetic moment   0.00 μB per formula unit
Space group   P-6m2

C:
Below is a geometry-optimized PmSiOs structure, with properties calculated at the GGA-PBE level.

Cell and atoms, written as extended XYZ:
```
6
Lattice="4.201 0.000 0.000 0.000 4.201 0.000 0.000 0.000 6.941" Properties=species:S:1:pos:R:3 pbc="T T T"
Pm 1.050 1.050 1.222
Pm 3.151 3.151 5.720
Si 1.050 1.050 4.729
Si 3.151 3.151 2.212
Os 1.050 3.151 3.471
Os 3.151 1.050 3.471
```

Values from the calculation:
Crystal system   tetragonal
Magnetic moment   0.00 μB per formula unit
Space group   P4/nmm

Calculated relative energies: A 525; B 176; C 0, given in meV per atom

A:
Below is a geometry-optimized PmSi3Os3 structure, with properties calculated at the GGA-PBE level.

Cell and atoms, written as extended XYZ:
```
14
Lattice="6.537 0.000 0.000 0.000 6.537 0.000 0.000 0.000 6.537" Properties=species:S:1:pos:R:3 pbc="T T T"
Pm 0.000 0.000 0.000
Pm 3.269 3.269 3.269
Si 0.000 1.634 3.269
Si 0.000 4.903 3.269
Si 1.634 3.269 0.000
Si 3.269 0.000 1.634
Si 3.269 0.000 4.903
Si 4.903 3.269 0.000
Os 0.000 3.269 1.634
Os 0.000 3.269 4.903
Os 1.634 0.000 3.269
Os 3.269 1.634 0.000
Os 3.269 4.903 0.000
Os 4.903 0.000 3.269
```

Values from the calculation:
Crystal system   cubic
Magnetic moment   0.00 μB per formula unit
Space group   Pm-3n

B:
Below is a geometry-optimized PmSi3Os3 structure, with properties calculated at the GGA-PBE level.

Cell and atoms, written as extended XYZ:
```
14
Lattice="3.339 1.928 6.833 -3.339 1.928 6.833 0.000 -3.856 6.833" Properties=species:S:1:pos:R:3 pbc="T T T"
Pm 0.000 0.000 3.407
Pm 0.000 0.000 17.093
Si -0.807 -1.628 8.342
Si -1.813 -0.116 12.158
Si -1.007 1.513 8.342
Si 1.007 -1.513 12.158
Si 1.813 0.116 8.342
Si 0.807 1.628 12.158
Os -0.817 -1.768 5.893
Os -1.122 1.591 5.893
Os -1.939 -0.176 14.607
Os 1.939 0.176 5.893
Os 1.122 -1.592 14.607
Os 0.817 1.768 14.607
```

Values from the calculation:
Crystal system   trigonal
Magnetic moment   0.00 μB per formula unit
Space group   R-3

C:
Below is a geometry-optimized PmSi3Os3 structure, with properties calculated at the GGA-PBE level.

Cell and atoms, written as extended XYZ:
```
14
Lattice="8.140 0.000 0.000 -4.070 7.050 0.000 0.000 0.000 4.175" Properties=species:S:1:pos:R:3 pbc="T T T"
Pm 0.000 4.700 1.044
Pm 4.070 2.350 3.131
Si -2.086 4.366 3.131
Si 1.332 3.060 3.131
Si 3.317 0.376 1.044
Si 0.754 6.673 3.131
Si 2.738 3.989 1.044
Si 6.156 2.684 1.044
Os -0.860 2.233 3.131
Os -1.706 6.678 3.131
Os 1.504 1.861 1.044
Os 2.566 5.189 3.131
Os 5.777 0.372 1.044
Os 4.930 4.817 1.044
```

Values from the calculation:
Crystal system   hexagonal
Magnetic moment   0.00 μB per formula unit
Space group   P6_3/m

Calculated relative energies: A 231; B 40; C 0, given in meV per atom

A:
Below is a geometry-optimized Pm2Si4Os3 structure, with properties calculated at the GGA-PBE level.

Cell and atoms, written as extended XYZ:
```
18
Lattice="2.926 -7.406 0.000 2.926 7.406 0.000 0.000 0.000 7.066" Properties=species:S:1:pos:R:3 pbc="T T T"
Pm 2.926 5.777 6.414
Pm 2.926 1.629 2.881
Pm 2.926 -1.629 4.186
Pm 2.926 -5.777 0.652
Si 2.926 4.755 3.656
Si 1.463 0.909 5.300
Si 1.463 -0.909 1.767
Si 2.926 2.651 0.123
Si 2.926 -2.651 6.943
Si 4.389 0.909 5.300
Si 4.389 -0.909 1.767
Si 2.926 -4.755 3.410
Os 0.000 0.000 3.533
Os 1.463 3.352 5.300
Os 1.463 -3.352 1.767
Os 2.926 0.000 0.000
Os 4.389 3.352 5.300
Os 4.389 -3.352 1.767
```

Values from the calculation:
Crystal system   orthorhombic
Magnetic moment   0.00 μB per formula unit
Space group   Cmce

B:
Below is a geometry-optimized Pm2Si4Os3 structure, with properties calculated at the GGA-PBE level.

Cell and atoms, written as extended XYZ:
```
9
Lattice="0.000 4.883 5.996 2.794 0.000 5.996 2.794 4.883 0.000" Properties=species:S:1:pos:R:3 pbc="T T T"
Pm 2.794 4.883 1.620
Pm 2.794 4.883 10.372
Si 2.794 3.126 4.136
Si 2.794 3.126 7.856
Si 2.794 6.639 4.136
Si 2.794 6.639 7.856
Os 1.397 2.441 0.000
Os 1.397 2.441 5.996
Os 2.794 4.883 5.996
```

Values from the calculation:
Crystal system   orthorhombic
Magnetic moment   0.00 μB per formula unit
Space group   Fmmm

Calculated relative energies: A 0; B 166, given in meV per atom

A:
Below is a geometry-optimized PmSi2Os structure, with properties calculated at the GGA-PBE level.

Cell and atoms, written as extended XYZ:
```
16
Lattice="7.071 0.000 0.000 0.000 4.131 0.000 0.000 0.000 10.049" Properties=species:S:1:pos:R:3 pbc="T T T"
Pm 1.074 1.033 1.246
Pm 2.461 3.098 6.270
Pm 4.610 1.033 3.778
Pm 5.997 3.098 8.803
Si 1.082 1.033 8.179
Si 1.349 1.033 4.237
Si 2.187 3.098 9.262
Si 2.453 3.098 3.155
Si 4.618 1.033 6.894
Si 4.884 1.033 0.787
Si 5.722 3.098 5.812
Si 5.989 3.098 1.869
Os 0.107 3.098 3.915
Os 3.428 1.033 8.939
Os 3.643 3.098 1.110
Os 6.964 1.033 6.134
```

Values from the calculation:
Crystal system   orthorhombic
Magnetic moment   0.00 μB per formula unit
Space group   Pnma

B:
Below is a geometry-optimized PmSi2Os structure, with properties calculated at the GGA-PBE level.

Cell and atoms, written as extended XYZ:
```
4
Lattice="2.052 1.185 5.080 -2.052 1.185 5.080 0.000 -2.369 5.080" Properties=species:S:1:pos:R:3 pbc="T T T"
Pm 0.000 0.000 0.000
Si 0.000 0.000 3.210
Si 0.000 0.000 12.029
Os 0.000 0.000 7.620
```

Values from the calculation:
Crystal system   trigonal
Magnetic moment   0.00 μB per formula unit
Space group   R-3m

Calculated relative energies: A 0; B 44, given in meV per atom

A:
Below is a geometry-optimized PmSi3Os structure, with properties calculated at the GGA-PBE level.

Cell and atoms, written as extended XYZ:
```
5
Lattice="-2.119 2.119 4.979 2.119 -2.119 4.979 2.119 2.119 -4.979" Properties=species:S:1:pos:R:3 pbc="T T T"
Pm 0.000 0.000 0.000
Si 2.119 0.000 2.627
Si 0.000 0.000 4.198
Si 0.000 2.119 2.627
Os 0.000 0.000 6.542
```

Values from the calculation:
Crystal system   tetragonal
Magnetic moment   0.00 μB per formula unit
Space group   I4mm

B:
Below is a geometry-optimized PmSi3Os structure, with properties calculated at the GGA-PBE level.

Cell and atoms, written as extended XYZ:
```
10
Lattice="5.960 0.000 0.000 0.000 5.635 0.000 0.000 0.000 5.764" Properties=species:S:1:pos:R:3 pbc="T T T"
Pm 0.000 0.866 0.000
Pm 2.980 4.769 2.882
Si 0.000 5.475 2.907
Si 1.281 1.925 2.938
Si 1.699 3.710 0.056
Si 2.980 0.160 0.024
Si 4.261 3.710 0.056
Si 4.679 1.925 2.938
Os 0.000 3.526 1.679
Os 2.980 2.109 4.562
```

Values from the calculation:
Crystal system   orthorhombic
Magnetic moment   0.00 μB per formula unit
Space group   Pmn2_1

Calculated relative energies: A 0; B 163, given in meV per atom

A:
Below is a geometry-optimized Pm3Si2Os structure, with properties calculated at the GGA-PBE level.

Cell and atoms, written as extended XYZ:
```
24
Lattice="11.842 0.000 0.000 0.000 4.235 0.000 0.000 0.000 11.605" Properties=species:S:1:pos:R:3 pbc="T T T"
Pm 0.721 1.059 1.402
Pm 1.421 3.177 6.470
Pm 2.479 1.059 9.277
Pm 3.442 3.177 3.475
Pm 4.500 1.059 0.668
Pm 5.200 3.177 7.204
Pm 6.642 1.059 4.400
Pm 7.342 3.177 10.936
Pm 8.400 1.059 8.129
Pm 9.363 3.177 2.327
Pm 10.421 1.059 5.134
Pm 11.121 3.177 10.202
Si 0.347 3.177 3.644
Si 2.350 3.177 11.468
Si 3.571 1.059 5.666
Si 5.574 1.059 9.446
Si 6.268 3.177 2.158
Si 8.271 3.177 5.938
Si 9.492 1.059 0.136
Si 11.495 1.059 7.960
Os 1.513 1.059 4.200
Os 4.408 3.177 10.002
Os 7.434 1.059 1.603
Os 10.329 3.177 7.405
```

Values from the calculation:
Crystal system   orthorhombic
Magnetic moment   0.00 μB per formula unit
Space group   Pnma

B:
Below is a geometry-optimized Pm3Si2Os structure, with properties calculated at the GGA-PBE level.

Cell and atoms, written as extended XYZ:
```
12
Lattice="3.957 2.285 5.742 -3.957 2.285 5.742 0.000 -4.569 5.742" Properties=species:S:1:pos:R:3 pbc="T T T"
Pm -2.723 -0.148 7.178
Pm -1.234 -2.432 10.049
Pm 1.489 -2.285 7.178
Pm -1.489 2.285 10.049
Pm 1.234 2.432 7.178
Pm 2.723 0.148 10.049
Si 0.000 0.000 2.468
Si 0.000 0.000 6.146
Si 0.000 0.000 11.081
Si 0.000 0.000 14.759
Os 0.000 0.000 0.000
Os 0.000 0.000 8.613
```

Values from the calculation:
Crystal system   trigonal
Magnetic moment   0.00 μB per formula unit
Space group   R-3c

Calculated relative energies: A 0; B 194, given in meV per atom

A:
Below is a geometry-optimized PmSmOs structure, with properties calculated at the GGA-PBE level.

Cell and atoms, written as extended XYZ:
```
9
Lattice="3.467 2.002 6.479 -3.467 2.002 6.479 0.000 -4.003 6.479" Properties=species:S:1:pos:R:3 pbc="T T T"
Pm -1.112 -1.997 6.479
Pm -1.174 1.961 6.479
Pm 2.285 0.036 6.479
Sm -2.271 -0.054 9.777
Sm 1.182 -1.940 9.777
Sm 1.089 1.993 9.777
Os 0.000 0.000 1.779
Os 0.000 0.000 4.773
Os 0.000 0.000 11.405
```

Values from the calculation:
Crystal system   trigonal
Magnetic moment   0.00 μB per formula unit
Space group   R3

B:
Below is a geometry-optimized PmSmOs structure, with properties calculated at the GGA-PBE level.

Cell and atoms, written as extended XYZ:
```
3
Lattice="0.000 3.453 3.453 3.453 0.000 3.453 3.453 3.453 0.000" Properties=species:S:1:pos:R:3 pbc="T T T"
Pm 0.000 0.000 0.000
Sm 3.453 3.453 3.453
Os 5.179 5.179 5.179
```

Values from the calculation:
Crystal system   cubic
Magnetic moment   0.00 μB per formula unit
Space group   F-43m

Calculated relative energies: A 119; B 0, given in meV per atom